Entry 1:
An optimized crystal structure of YCrIr, computed with PBE.

It has space group P-6m2 (No. 187), with a = 4.0247 Å, b = 4.0247 Å, c = 4.3533 Å, α = 90.00°, β = 90.00° and γ = 120.00°. The distinct sites, in fractional coordinates, are Y at (0.0000, 0.0000, 0.0000), Cr at (0.6667, 0.3333, 0.5000) and Ir at (0.3333, 0.6667, 0.5000).

As for the energy of formation from the pure elements: -0.230 eV per atom.


Entry 2:
An optimized crystal structure of BeTeRuF2, computed with PBE.

It has space group P4/mmm (No. 123), with a = 4.140 Å, b = 4.140 Å, c = 5.150 Å, α = 90.00°, β = 90.00° and γ = 90.00°. The distinct sites, in fractional coordinates, are Be at (0.000, 0.000, 0.000), Te at (0.500, 0.500, 0.500), Ru at (0.500, 0.500, 0.000) and F at (0.000, 0.500, 0.500).

Its uncorrected formation energy is -0.084 eV/atom.


| no. | uncorrected energy (eV per atom) |
| --- | --- |
| 1 | -8.5457 |
| 2 | -4.0615 |